Record 1
{"formula": "KRb3Cl", "functional": "GGA-PBEsol", "state": "relaxed", "total_energy_ry_per_atom": -0.144, "n_ef_per_ev_cell": 2.74, "raw_formation_energy_ev_per_fu": -3.562, "lattice": [[6.698, 0.000, 0.000], [0.000, 6.698, 0.000], [0.000, 0.000, 6.698]], "species": ["K", "Rb", "Rb", "Rb", "Cl"], "frac_coords": [[0.000, 0.000, 0.000], [0.000, 0.500, 0.500], [0.500, 0.000, 0.500], [0.500, 0.500, 0.000], [0.500, 0.500, 0.500]]}



Record 2
{"formula": "BaLi2Zn", "functional": "GGA-PBEsol", "state": "relaxed", "total_energy_ry_per_atom": -0.141, "n_ef_per_ev_cell": 10.26, "e_form_mev_per_atom": -5, "lattice": [[4.652, 0.000, 0.000], [-2.326, 4.029, 0.000], [0.000, 0.000, 17.333]], "species": ["Ba", "Ba", "Ba", "Li", "Li", "Li", "Li", "Li", "Li", "Zn", "Zn", "Zn"], "frac_coords": [[0.000, 0.000, 0.000], [0.333, 0.667, 0.667], [0.667, 0.333, 0.333], [0.000, 0.000, 0.195], [0.000, 0.000, 0.805], [0.333, 0.667, 0.472], [0.333, 0.667, 0.861], [0.667, 0.333, 0.139], [0.667, 0.333, 0.528], [0.000, 0.000, 0.500], [0.333, 0.667, 0.167], [0.667, 0.333, 0.833]]}



Record 3
{"formula": "TlHgSeBr2", "functional": "GGA-PBEsol", "state": "relaxed", "total_energy_ry_per_atom": -0.170, "n_ef_per_ev_cell": 4.08, "raw_formation_energy_ev_per_fu": -0.744, "lattice": [[5.477, 0.000, 0.000], [0.000, 5.477, 0.000], [0.000, 0.000, 5.183]], "species": ["Tl", "Hg", "Se", "Br", "Br"], "frac_coords": [[0.000, 0.000, 0.000], [0.500, 0.500, 0.500], [0.500, 0.500, 0.000], [0.000, 0.500, 0.500], [0.500, 0.000, 0.500]]}